Entry 1:
This record from Alexandria describes Ba3Si2B6O16 at its PBEsol-relaxed geometry. The functional is meta-GGA SCAN.

Calculated values
* E_tot: -13.47 eV per atom
* SG: P-1, No. 2

Cell lengths 5.0350, 7.5546, 8.5422 Å; angles 77.22, 77.65, 87.52 degrees
Last column: nearest neighbours and their distance in Å.
Element x y z (fractional)
Ba (0.5000, 0.0000, 0.5000)  8 O 2.67-2.89
Ba (0.6199, 0.5808, 0.2347)  8 O 2.69-2.99
Ba (0.3801, 0.4192, 0.7653)  8 O 2.69-2.99
Si (0.2387, 0.8259, 0.9411)  4 O 1.63-1.64
Si (0.7613, 0.1741, 0.0589)  4 O 1.63-1.64
B (0.8143, 0.7570, 0.7969)  4 O 1.46-1.50
B (0.1857, 0.2430, 0.2031)  4 O 1.46-1.50
B (0.9675, 0.3061, 0.4744)  3 O 1.34-1.41
B (0.0325, 0.6939, 0.5256)  3 O 1.34-1.41
B (0.0223, 0.9093, 0.2483)  4 O 1.45-1.51
B (0.9777, 0.0907, 0.7517)  4 O 1.45-1.51
O (0.2185, 0.8227, 0.1346)  1 B 1.47, 1 Si 1.63
O (0.7815, 0.1773, 0.8654)  1 B 1.47, 1 Si 1.63
O (0.1426, 0.3660, 0.3196)  2 B 1.41-1.48
O (0.8574, 0.6340, 0.6804)  2 B 1.41-1.48
O (0.9917, 0.7047, 0.9186)  1 B 1.49, 1 Si 1.64
O (0.0083, 0.2953, 0.0814)  1 B 1.49, 1 Si 1.64
O (0.9043, 0.7718, 0.3970)  2 B 1.40-1.48
O (0.0957, 0.2282, 0.6030)  2 B 1.40-1.48
O (0.6972, 0.3248, 0.4944)  1 B 1.34
O (0.3028, 0.6752, 0.5056)  1 B 1.34
O (0.4750, 0.2765, 0.1124)  1 B 1.50, 1 Si 1.63
O (0.5250, 0.7235, 0.8876)  1 B 1.50, 1 Si 1.63
O (0.8653, 0.9427, 0.7036)  2 B 1.45-1.46
O (0.1347, 0.0573, 0.2964)  2 B 1.45-1.46
O (0.7789, 0.9711, 0.1738)  1 B 1.51, 1 Si 1.64
O (0.2211, 0.0289, 0.8262)  1 B 1.51, 1 Si 1.64

=====

Entry 2:
This record from Alexandria describes Ba3YB3O9 at its PBEsol-relaxed geometry. The functional is meta-GGA SCAN.

Calculated values
* E_tot: -17.24 eV per atom
* SG: P6_3cm, No. 185

Cell lengths 9.4135, 9.4135, 17.5392 Å; angles 90.00, 90.00, 120.00 degrees
Last column: nearest neighbours and their distance in Å.
Element x y z (fractional)
Ba (0.3333, 0.6667, 0.2231)  9 O 2.77-2.97
Ba (0.3462, 0.0000, 0.3691)  9 O 2.64-2.93
Ba (0.0000, 0.3462, 0.3691)  9 O 2.64-2.93
Ba (0.0000, 0.6538, 0.8691)  9 O 2.64-2.93
Ba (0.6538, 0.0000, 0.8691)  9 O 2.64-2.93
Ba (0.6538, 0.6538, 0.3691)  9 O 2.64-2.93
Ba (0.3462, 0.3462, 0.8691)  9 O 2.64-2.93
Ba (0.6667, 0.3333, 0.7231)  9 O 2.77-2.97
Ba (0.3333, 0.6667, 0.7231)  9 O 2.77-2.97
Ba (0.6667, 0.3333, 0.2231)  9 O 2.77-2.97
Ba (0.0000, 0.0000, 0.7809)  9 O 2.77-2.88
Ba (0.0000, 0.0000, 0.2809)  9 O 2.77-2.88
Ba (0.6802, 0.6802, 0.1298)  9 O 2.69-2.89
Ba (0.6802, 0.0000, 0.6298)  9 O 2.69-2.89
Ba (0.0000, 0.6802, 0.6298)  9 O 2.69-2.89
Ba (0.0000, 0.3198, 0.1298)  9 O 2.69-2.89
Ba (0.3198, 0.0000, 0.1298)  9 O 2.69-2.89
Ba (0.3198, 0.3198, 0.6298)  9 O 2.69-2.89
Y (0.0000, 0.0000, 0.4969)  6 O 2.23-2.24
Y (0.0000, 0.0000, 0.9969)  6 O 2.23-2.24
Y (0.6667, 0.3333, 0.5021)  6 O 2.21-2.26
Y (0.3333, 0.6667, 0.0021)  6 O 2.21-2.26
Y (0.6667, 0.3333, 0.0021)  6 O 2.21-2.26
Y (0.3333, 0.6667, 0.5021)  6 O 2.21-2.26
B (0.3406, 0.3406, 0.0801)  3 O 1.39
B (0.3406, 0.0000, 0.5801)  3 O 1.39
B (0.0000, 0.3406, 0.5801)  3 O 1.39
B (0.0000, 0.6594, 0.0801)  3 O 1.39
B (0.6594, 0.0000, 0.0801)  3 O 1.39
B (0.6594, 0.6594, 0.5801)  3 O 1.39
B (0.3328, 0.3328, 0.2502)  3 O 1.39
B (0.3328, 0.0000, 0.7502)  3 O 1.39
B (0.0000, 0.3328, 0.7502)  3 O 1.39
B (0.0000, 0.6672, 0.2502)  3 O 1.39
B (0.6672, 0.0000, 0.2502)  3 O 1.39
B (0.6672, 0.6672, 0.7502)  3 O 1.39
B (0.3259, 0.3259, 0.4235)  3 O 1.38
B (0.3259, 0.0000, 0.9235)  3 O 1.38
B (0.0000, 0.3259, 0.9235)  3 O 1.38
B (0.0000, 0.6741, 0.4235)  3 O 1.38
B (0.6741, 0.0000, 0.4235)  3 O 1.38
B (0.6741, 0.6741, 0.9235)  3 O 1.38
O (0.3329, 0.1478, 0.7498)  1 B 1.39
O (0.1943, 0.0000, 0.5695)  1 B 1.39
O (0.0000, 0.1943, 0.5695)  1 B 1.39
O (0.0000, 0.8057, 0.0695)  1 B 1.39
O (0.8057, 0.0000, 0.0695)  1 B 1.39
O (0.8524, 0.3395, 0.5853)  1 B 1.39
O (0.8201, 0.8201, 0.9137)  1 B 1.38
O (0.8201, 0.0000, 0.4137)  1 B 1.38
O (0.0000, 0.8201, 0.4137)  1 B 1.38
O (0.0000, 0.1799, 0.9137)  1 B 1.38
O (0.1799, 0.0000, 0.9137)  1 B 1.38
O (0.1799, 0.1799, 0.4137)  1 B 1.38
O (0.5274, 0.6743, 0.9287)  1 B 1.38
O (0.6743, 0.1468, 0.4287)  1 B 1.38
O (0.8532, 0.5274, 0.4287)  1 B 1.38
O (0.1468, 0.4726, 0.9287)  1 B 1.38
O (0.3257, 0.8532, 0.9287)  1 B 1.38
O (0.4726, 0.3257, 0.4287)  1 B 1.38
O (0.5274, 0.8532, 0.4287)  1 B 1.38
O (0.1468, 0.6743, 0.4287)  1 B 1.38
O (0.3257, 0.4726, 0.4287)  1 B 1.38
O (0.6743, 0.5274, 0.9287)  1 B 1.38
O (0.4726, 0.1468, 0.9287)  1 B 1.38
O (0.8532, 0.3257, 0.9287)  1 B 1.38
O (0.6671, 0.8150, 0.7498)  1 B 1.39
O (0.8150, 0.1478, 0.2498)  1 B 1.39
O (0.8522, 0.6671, 0.2498)  1 B 1.39
O (0.1478, 0.3329, 0.7498)  1 B 1.39
O (0.1850, 0.8522, 0.7498)  1 B 1.39
O (0.3329, 0.1850, 0.2498)  1 B 1.39
O (0.6671, 0.8522, 0.2498)  1 B 1.39
O (0.1478, 0.8150, 0.2498)  1 B 1.39
O (0.1850, 0.3329, 0.2498)  1 B 1.39
O (0.8150, 0.6671, 0.7498)  1 B 1.39
O (0.1943, 0.1943, 0.0695)  1 B 1.39
O (0.8522, 0.1850, 0.7498)  1 B 1.39
O (0.5194, 0.5194, 0.7504)  1 B 1.39
O (0.5194, 0.0000, 0.2504)  1 B 1.39
O (0.0000, 0.5194, 0.2504)  1 B 1.39
O (0.0000, 0.4806, 0.7504)  1 B 1.39
O (0.4806, 0.0000, 0.7504)  1 B 1.39
O (0.4806, 0.4806, 0.2504)  1 B 1.39
O (0.5129, 0.6605, 0.5853)  1 B 1.39
O (0.6605, 0.1476, 0.0853)  1 B 1.39
O (0.8524, 0.5129, 0.0853)  1 B 1.39
O (0.1476, 0.4871, 0.5853)  1 B 1.39
O (0.3395, 0.8524, 0.5853)  1 B 1.39
O (0.4871, 0.3395, 0.0853)  1 B 1.39
O (0.5129, 0.8524, 0.0853)  1 B 1.39
O (0.1476, 0.6605, 0.0853)  1 B 1.39
O (0.3395, 0.4871, 0.0853)  1 B 1.39
O (0.6605, 0.5129, 0.5853)  1 B 1.39
O (0.4871, 0.1476, 0.5853)  1 B 1.39
O (0.8057, 0.8057, 0.5695)  1 B 1.39

=====

Entry 3:
This record from Alexandria describes BaBP3 at its PBEsol-relaxed geometry. The functional is meta-GGA SCAN.

Calculated values
* energy relative to the elements: 0.410 eV per atom
* SG: Pm-3m, No. 221

Cell lengths 4.4711, 4.4711, 4.4711 Å; angles 90.00, 90.00, 90.00 degrees
Last column: nearest neighbours and their distance in Å.
Element x y z (fractional)
P (0.0000, 0.5000, 0.0000)  2 B 2.24
P (0.0000, 0.0000, 0.5000)  2 B 2.24
P (0.5000, 0.0000, 0.0000)  2 B 2.24
B (0.0000, 0.0000, 0.0000)  6 P 2.24
Ba (0.5000, 0.5000, 0.5000)  12 P 3.16

=====

Entry 4:
This record from Alexandria describes BaBPb2 at its PBEsol-relaxed geometry. The functional is meta-GGA SCAN.

Calculated values
* energy relative to the elements: 0.752 eV per atom
* SG: Fm-3m, No. 225

Cell lengths 5.3838, 5.3838, 5.3838 Å; angles 60.00, 60.00, 60.00 degrees
Last column: nearest neighbours and their distance in Å.
Element x y z (fractional)
Pb (0.2500, 0.2500, 0.2500)  4 Ba 3.30, 4 B 3.30
Pb (0.7500, 0.7500, 0.7500)  4 Ba 3.30, 4 B 3.30
B (0.0000, 0.0000, 0.0000)  8 Pb 3.30
Ba (0.5000, 0.5000, 0.5000)  8 Pb 3.30